No. 1
First-principles (SCAN) data for CsTc3Ag at its PBEsol-relaxed geometry, as listed in Alexandria.

Unit cell a=5.0321 b=5.0321 c=5.0321 alpha=90.00 beta=90.00 gamma=90.00
With the nearest neighbours (Å) after each atom.
Sites, in units of the cell vectors:
Tc 0.0000 0.5000 0.0000  2 Ag 2.52
Tc 0.5000 0.0000 0.0000  2 Ag 2.52
Cs 0.5000 0.5000 0.5000  12 Tc 3.56
Ag 0.0000 0.0000 0.0000  6 Tc 2.52
Tc 0.0000 0.0000 0.5000  2 Ag 2.52

Properties
DFT formation energy = 2297 meV/atom
space group = Pm-3m (221)


No. 2
First-principles (SCAN) data for CsAgTe2 at its PBEsol-relaxed geometry, as listed in Alexandria.

Unit cell a=6.4484 b=6.4484 c=7.3774 alpha=83.35 beta=83.35 gamma=68.19
With the nearest neighbours (Å) after each atom.
Sites, in units of the cell vectors:
Ag 0.1975 0.8025 0.0000  4 Te 2.81-2.83, 1 Ag 2.86
Te 0.3669 0.3669 0.1710  2 Ag 2.81, 1 Te 2.84
Te 0.6331 0.6331 0.8290  2 Ag 2.81, 1 Te 2.84
Te 0.1006 0.1006 0.2778  2 Ag 2.83, 1 Te 2.84
Te 0.8994 0.8994 0.7222  2 Ag 2.83, 1 Te 2.84
Ag 0.8025 0.1975 0.0000  4 Te 2.81-2.83, 1 Ag 2.86
Cs 0.7127 0.7127 0.3054  9 Te 3.73-4.12, 4 Ag 3.82-4.06
Cs 0.2873 0.2873 0.6946  9 Te 3.73-4.12, 4 Ag 3.82-4.06

Properties
space group = C2/m (12)
raw formation energy = -2.4 eV/f.u.


No. 3
First-principles (SCAN) data for CsAgTe2 at its PBEsol-relaxed geometry, as listed in Alexandria.

Unit cell a=5.9634 b=5.9634 c=10.1277 alpha=107.12 beta=107.12 gamma=90.00
With the nearest neighbours (Å) after each atom.
Sites, in units of the cell vectors:
Te 0.6849 0.3750 0.2500  2 Ag 2.77, 2 Te 3.07
Cs 0.0000 0.0000 0.0000  4 Te 3.80, 4 Ag 4.22
Cs 0.2500 0.7500 0.5000  4 Te 3.80, 4 Ag 4.22
Te 0.5651 0.8750 0.2500  2 Ag 2.77, 2 Te 3.07
Ag 0.7500 0.2500 0.5000  4 Te 2.77
Te 0.6250 0.4349 0.7500  2 Ag 2.77, 2 Te 3.07
Ag 0.5000 0.5000 0.0000  4 Te 2.77
Te 0.1250 0.3151 0.7500  2 Ag 2.77, 2 Te 3.07

Properties
space group = I-42d (122)
raw formation energy = -2.1 eV/f.u.